This record from the Alexandria database describes crystalline Al2TlCuS4 at its relaxed geometry. The functional is PBE-GGA.

Summary:
Total energy: -71.13 eV for the cell shown
ΔE_f (raw): -638.7 meV/atom

Lattice parameters (Å, degrees): 5.4294 5.4294 12.3936 90.00 90.00 90.00
Closest atoms and distances in Å follow each position.
Space group I-42m (No. 121)
Inequivalent atoms, fractional coordinates:
Al: 0.0000 0.5000 0.2500 x4  4 S 2.31
Tl: 0.0000 0.0000 0.0000 x2  4 S 2.90
Cu: 0.0000 0.0000 0.5000 x2  4 S 2.45
S: 0.2093 0.2093 0.3509 x8  2 Al 2.31, 1 Cu 2.45